A plane-wave DFT calculation with PBE with a Hubbard U was carried out for a geometry-optimized Cs2NpMnO6 structure.

DFT total energy (eV per atom): -7.2557
V (Å³/f.u.): 183

a = 6.9131 Å, b = 6.9131 Å, c = 6.9131 Å
α = 131.20°, β = 131.20°, γ = 71.50°
Closest atoms and distances in Å follow each position.
Fractional coordinates of all 10 atoms:
1 Cs 0.2500 0.7500 0.5000  4 O 3.00
2 Cs 0.7500 0.2500 0.5000  4 O 3.00
3 Np 0.0000 0.0000 0.0000  6 O 1.90-2.11
4 Mn 0.5000 0.5000 0.0000  4 O 1.92
5 O 0.1694 0.1694 0.0000  1 Np 1.90
6 O 0.2618 0.2618 0.5235  1 Mn 1.92, 1 Np 2.11
7 O 0.2618 0.7382 0.0000  1 Mn 1.92, 1 Np 2.11
8 O 0.7382 0.2618 0.0000  1 Mn 1.92, 1 Np 2.11
9 O 0.7382 0.7382 0.4765  1 Mn 1.92, 1 Np 2.11
10 O 0.8306 0.8306 0.0000  1 Np 1.90